! LaBeAg2Pd, relaxed, DFT GGA-PBE; values from VASP
! - formation energy (eV/atom) = 1.32
! - DFT total energy (eV/atom) = -2.591
! - space-group type = No. 123
&SYSTEM
  ibrav = 0, nat = 5, ntyp = 4
/
ATOMIC_SPECIES
Ag 107.87 Ag.upf
Pd 106.42 Pd.upf
La 138.91 La.upf
Be 9.01 Be.upf
CELL_PARAMETERS angstrom
-2.105 1.302 -5.123
3.566 -2.975 -2.222
-3.523 -4.457 0.315
ATOMIC_POSITIONS crystal
Ag 0.500 0.000 0.000
Ag 0.000 0.000 0.500
Pd 0.000 0.500 0.000
La 0.000 0.000 0.000
Be 0.500 0.500 0.500

! K3ErOs2O9, relaxed, DFT GGA-PBE; values from VASP
! - uncorrected formation energy (eV/atom) = -1.738
! - DFT total energy (eV/atom) = -6.734
! - space-group type = No. 164
&SYSTEM
  ibrav = 0, nat = 15, ntyp = 4
/
ATOMIC_SPECIES
O 16.00 O.upf
Os 190.23 Os.upf
K 39.10 K.upf
Er 167.26 Er.upf
CELL_PARAMETERS angstrom
5.720 0.000 0.000
-2.860 4.953 0.000
0.000 0.000 7.076
ATOMIC_POSITIONS crystal
O 0.000 0.500 0.000
O 0.644 0.822 0.311
O 0.178 0.822 0.311
O 0.178 0.356 0.311
O 0.822 0.644 0.689
O 0.356 0.178 0.689
O 0.500 0.500 0.000
O 0.500 0.000 0.000
O 0.822 0.178 0.689
Os 0.667 0.333 0.845
Os 0.333 0.667 0.155
K 0.333 0.667 0.663
K 0.667 0.333 0.337
K 0.000 0.000 0.000
Er 0.000 0.000 0.500

! RbTiRe2, relaxed, DFT GGA-PBE; values from VASP
! - formation energy (eV/atom) = 1.81
! - DFT total energy (eV/atom) = -6.632
! - space-group type = No. 225
&SYSTEM
  ibrav = 0, nat = 4, ntyp = 3
/
ATOMIC_SPECIES
Ti 47.87 Ti.upf
Rb 85.47 Rb.upf
Re 186.21 Re.upf
CELL_PARAMETERS angstrom
-2.154 -4.061 -0.837
-4.575 -0.066 -0.948
-1.477 -1.015 -4.315
ATOMIC_POSITIONS crystal
Ti 0.000 0.000 0.000
Rb 0.500 0.500 0.500
Re 0.750 0.750 0.750
Re 0.250 0.250 0.250

! PrAlPbS4, relaxed, DFT GGA-PBE; values from VASP
! - uncorrected formation energy (eV/atom) = -1.236
! - DFT total energy (eV/atom) = -5.341
! - space-group type = No. 11
&SYSTEM
  ibrav = 0, nat = 14, ntyp = 4
/
ATOMIC_SPECIES
Pr 140.91 Pr.upf
Pb 207.20 Pb.upf
Al 26.98 Al.upf
S 32.06 S.upf
CELL_PARAMETERS angstrom
6.679 0.000 0.092
0.000 6.665 0.000
-2.498 0.000 7.696
ATOMIC_POSITIONS crystal
Pr 0.225 0.250 0.557
Pr 0.775 0.750 0.443
Pb 0.259 0.250 0.071
Pb 0.741 0.750 0.929
Al 0.235 0.750 0.308
Al 0.765 0.250 0.692
S 0.005 0.495 0.259
S 0.995 0.505 0.741
S 0.995 0.995 0.741
S 0.573 0.250 0.412
S 0.433 0.750 0.130
S 0.567 0.250 0.870
S 0.427 0.750 0.588
S 0.005 0.005 0.259

! As2IrAu, relaxed, DFT GGA-PBE; values from VASP
! - formation energy (eV/atom) = 0.23
! - DFT total energy (eV/atom) = -5.133
! - space-group type = No. 65
&SYSTEM
  ibrav = 0, nat = 4, ntyp = 3
/
ATOMIC_SPECIES
As 74.92 As.upf
Au 196.97 Au.upf
Ir 192.22 Ir.upf
CELL_PARAMETERS angstrom
-0.835 2.714 0.003
-0.216 -1.562 2.362
9.887 3.040 2.915
ATOMIC_POSITIONS crystal
As 0.000 0.000 0.546
As 0.000 0.000 0.954
Au 0.500 0.500 0.250
Ir 0.500 0.500 0.750

! Pr6Nd8Y, relaxed, DFT GGA-PBE; values from VASP
! - formation energy (eV/atom) = 0.15
! - DFT total energy (eV/atom) = -4.731
! - space-group type = No. 147
&SYSTEM
  ibrav = 0, nat = 15, ntyp = 3
/
ATOMIC_SPECIES
Nd 144.24 Nd.upf
Pr 140.91 Pr.upf
Y 88.91 Y.upf
CELL_PARAMETERS angstrom
6.763 0.000 0.000
0.000 8.343 -4.817
0.000 0.000 9.633
ATOMIC_POSITIONS crystal
Nd 0.162 0.971 0.718
Nd 0.838 0.718 0.747
Nd 0.890 0.333 0.667
Nd 0.838 0.029 0.282
Nd 0.162 0.747 0.029
Nd 0.110 0.667 0.333
Nd 0.162 0.282 0.253
Nd 0.838 0.253 0.971
Pr 0.341 0.084 0.430
Pr 0.659 0.654 0.084
Pr 0.341 0.570 0.654
Pr 0.659 0.916 0.570
Pr 0.341 0.346 0.916
Pr 0.659 0.430 0.346
Y 0.500 0.000 0.000

! Ba2NaPr, relaxed, DFT GGA-PBE; values from VASP
! - formation energy (eV/atom) = 0.13
! - DFT total energy (eV/atom) = -2.360
! - space-group type = No. 123
&SYSTEM
  ibrav = 0, nat = 4, ntyp = 3
/
ATOMIC_SPECIES
Ba 137.33 Ba.upf
Pr 140.91 Pr.upf
Na 22.99 Na.upf
CELL_PARAMETERS angstrom
4.052 0.000 0.000
0.000 4.052 0.000
0.000 0.000 11.759
ATOMIC_POSITIONS crystal
Ba 0.000 0.000 0.253
Ba 0.000 0.000 0.747
Pr 0.500 0.500 0.500
Na 0.500 0.500 0.000

! CdCuIr2, relaxed, DFT GGA-PBE; values from VASP
! - formation energy (eV/atom) = 0.10
! - DFT total energy (eV/atom) = -5.579
! - space-group type = No. 99
&SYSTEM
  ibrav = 0, nat = 4, ntyp = 3
/
ATOMIC_SPECIES
Ir 192.22 Ir.upf
Cu 63.55 Cu.upf
Cd 112.41 Cd.upf
CELL_PARAMETERS angstrom
2.788 0.000 0.000
0.000 2.788 0.000
0.000 0.000 7.892
ATOMIC_POSITIONS crystal
Ir 0.500 0.500 0.226
Ir 0.000 0.000 0.000
Cu 0.500 0.500 0.768
Cd 0.000 0.000 0.506

! Tb2PmNdBi4, relaxed, DFT GGA-PBE; values from VASP
! - formation energy (eV/atom) = -0.91
! - DFT total energy (eV/atom) = -5.199
! - space-group type = No. 10
&SYSTEM
  ibrav = 0, nat = 8, ntyp = 4
/
ATOMIC_SPECIES
Tb 158.93 Tb.upf
Bi 208.98 Bi.upf
Nd 144.24 Nd.upf
Pm 145.00 Pm.upf
CELL_PARAMETERS angstrom
4.547 0.000 0.000
0.000 7.865 -0.154
0.000 2.769 7.368
ATOMIC_POSITIONS crystal
Tb 0.500 0.000 0.500
Tb 0.000 0.000 0.000
Bi 0.500 0.244 0.751
Bi 0.000 0.757 0.747
Bi 0.500 0.756 0.249
Bi 0.000 0.243 0.253
Nd 0.500 0.500 0.000
Pm 0.000 0.500 0.500

! Na2ZnSnO4, relaxed, DFT GGA-PBE; values from VASP
! - uncorrected formation energy (eV/atom) = -1.562
! - DFT total energy (eV/atom) = -5.030
! - space-group type = No. 82
&SYSTEM
  ibrav = 0, nat = 8, ntyp = 4
/
ATOMIC_SPECIES
Zn 65.41 Zn.upf
Na 22.99 Na.upf
O 16.00 O.upf
Sn 118.71 Sn.upf
CELL_PARAMETERS angstrom
-0.735 5.283 0.012
-2.498 -0.338 -4.702
-2.065 -2.990 4.338
ATOMIC_POSITIONS crystal
Zn 0.736 0.736 0.472
Na 0.236 0.236 0.472
Na 0.486 0.986 0.972
O 0.664 0.605 0.718
O 0.867 0.418 0.226
O 0.359 0.808 0.226
O 0.054 0.113 0.718
Sn 0.986 0.486 0.972

! LaNdMgPa, relaxed, DFT GGA-PBE; values from VASP
! - formation energy (eV/atom) = 0.34
! - DFT total energy (eV/atom) = -4.860
! - space-group type = No. 216
&SYSTEM
  ibrav = 0, nat = 4, ntyp = 4
/
ATOMIC_SPECIES
Mg 24.30 Mg.upf
Pa 231.04 Pa.upf
Nd 144.24 Nd.upf
La 138.91 La.upf
CELL_PARAMETERS angstrom
-1.574 5.200 0.998
-0.895 1.667 5.190
3.499 3.531 2.409
ATOMIC_POSITIONS crystal
Mg 0.500 0.500 0.500
Pa 0.000 0.000 0.000
Nd 0.750 0.750 0.750
La 0.250 0.250 0.250

! ZnI4, relaxed, DFT GGA-PBE; values from VASP
! - uncorrected formation energy (eV/atom) = -0.302
! - DFT total energy (eV/atom) = -1.797
! - space-group type = No. 12
&SYSTEM
  ibrav = 0, nat = 10, ntyp = 2
/
ATOMIC_SPECIES
I 126.90 I.upf
Zn 65.41 Zn.upf
CELL_PARAMETERS angstrom
6.850 0.000 0.653
3.425 7.897 0.326
0.673 0.000 11.287
ATOMIC_POSITIONS crystal
I 0.817 0.000 0.279
I 0.681 0.000 0.062
I 0.438 0.682 0.372
I 0.880 0.682 0.628
I 0.183 0.000 0.721
I 0.319 0.000 0.938
I 0.120 0.318 0.372
I 0.562 0.318 0.628
Zn 0.748 0.505 0.500
Zn 0.252 0.495 0.500

! YMg2PbO, relaxed, DFT GGA-PBE; values from VASP
! - uncorrected formation energy (eV/atom) = -1.116
! - DFT total energy (eV/atom) = -4.780
! - space-group type = No. 123
&SYSTEM
  ibrav = 0, nat = 5, ntyp = 4
/
ATOMIC_SPECIES
Mg 24.30 Mg.upf
Pb 207.20 Pb.upf
Y 88.91 Y.upf
O 16.00 O.upf
CELL_PARAMETERS angstrom
4.574 0.000 0.000
0.000 4.574 0.000
0.000 0.000 4.755
ATOMIC_POSITIONS crystal
Mg 0.500 0.000 0.000
Mg 0.000 0.500 0.000
Pb 0.500 0.500 0.500
Y 0.000 0.000 0.500
O 0.000 0.000 0.000

! Na2SnPd2, relaxed, DFT GGA-PBE; values from VASP
! - formation energy (eV/atom) = -0.30
! - DFT total energy (eV/atom) = -3.705
! - space-group type = No. 71
&SYSTEM
  ibrav = 0, nat = 5, ntyp = 3
/
ATOMIC_SPECIES
Na 22.99 Na.upf
Pd 106.42 Pd.upf
Sn 118.71 Sn.upf
CELL_PARAMETERS angstrom
-3.092 -1.726 2.522
3.885 -1.045 4.047
-1.198 5.495 -1.454
ATOMIC_POSITIONS crystal
Na 0.200 0.700 0.400
Na 0.800 0.300 0.600
Pd 0.500 0.261 0.000
Pd 0.500 0.739 0.000
Sn 0.000 0.000 0.000

! SrLi6Ga2, relaxed, DFT GGA-PBE; values from VASP
! - formation energy (eV/atom) = -0.16
! - DFT total energy (eV/atom) = -2.293
! - space-group type = No. 123
&SYSTEM
  ibrav = 0, nat = 9, ntyp = 3
/
ATOMIC_SPECIES
Ga 69.72 Ga.upf
Li 6.94 Li.upf
Sr 87.62 Sr.upf
CELL_PARAMETERS angstrom
4.453 0.000 0.000
0.000 4.453 0.000
0.000 0.000 9.962
ATOMIC_POSITIONS crystal
Ga 0.500 0.500 0.870
Ga 0.500 0.500 0.130
Li 0.500 0.500 0.500
Li 0.000 0.500 0.291
Li 0.500 0.000 0.709
Li 0.500 0.000 0.291
Li 0.000 0.000 0.500
Li 0.000 0.500 0.709
Sr 0.000 0.000 0.000

! LaGaBi2, relaxed, DFT GGA-PBE; values from VASP
! - formation energy (eV/atom) = -0.53
! - DFT total energy (eV/atom) = -4.457
! - space-group type = No. 123
&SYSTEM
  ibrav = 0, nat = 4, ntyp = 3
/
ATOMIC_SPECIES
Bi 208.98 Bi.upf
Ga 69.72 Ga.upf
La 138.91 La.upf
CELL_PARAMETERS angstrom
-2.942 3.424 -1.531
-3.848 -2.976 0.739
-0.426 1.692 4.601
ATOMIC_POSITIONS crystal
Bi 0.000 0.500 0.000
Bi 0.000 0.000 0.500
Ga 0.500 0.000 0.000
La 0.500 0.500 0.500

! Ba3Na2Pd, relaxed, DFT GGA-PBE; values from VASP
! - formation energy (eV/atom) = -0.22
! - DFT total energy (eV/atom) = -2.485
! - space-group type = No. 63
&SYSTEM
  ibrav = 0, nat = 12, ntyp = 3
/
ATOMIC_SPECIES
Ba 137.33 Ba.upf
Na 22.99 Na.upf
Pd 106.42 Pd.upf
CELL_PARAMETERS angstrom
6.071 0.000 1.933
0.000 9.038 0.001
0.032 -0.001 10.403
ATOMIC_POSITIONS crystal
Ba 0.114 0.000 0.772
Ba 0.886 0.000 0.228
Ba 0.114 0.500 0.772
Ba 0.500 0.250 0.000
Ba 0.886 0.500 0.228
Ba 0.500 0.750 0.000
Na 0.298 0.750 0.407
Na 0.296 0.250 0.407
Na 0.702 0.250 0.593
Na 0.704 0.750 0.593
Pd 0.000 0.750 0.000
Pd 0.000 0.250 0.000

! AgSnS2, relaxed, DFT GGA-PBE; values from VASP
! - uncorrected formation energy (eV/atom) = -0.126
! - DFT total energy (eV/atom) = -3.903
! - space-group type = No. 160
&SYSTEM
  ibrav = 0, nat = 4, ntyp = 3
/
ATOMIC_SPECIES
Ag 107.87 Ag.upf
S 32.06 S.upf
Sn 118.71 Sn.upf
CELL_PARAMETERS angstrom
3.770 0.000 0.000
1.885 3.265 0.000
1.885 1.088 6.820
ATOMIC_POSITIONS crystal
Ag 0.669 0.669 0.994
S 0.080 0.080 0.761
S 0.252 0.252 0.243
Sn 0.499 0.499 0.502

! Sb2TeHCl, relaxed, DFT GGA-PBE; values from VASP
! - DFT total energy (eV/atom) = -2.949
! - space-group type = No. 123
&SYSTEM
  ibrav = 0, nat = 5, ntyp = 4
/
ATOMIC_SPECIES
H 1.01 H.upf
Cl 35.45 Cl.upf
Sb 121.76 Sb.upf
Te 127.60 Te.upf
CELL_PARAMETERS angstrom
-3.753 3.079 -0.925
-1.898 -0.974 4.457
2.346 3.382 1.738
ATOMIC_POSITIONS crystal
H 0.000 0.000 0.000
Cl 0.500 0.500 0.500
Sb 0.500 0.000 0.000
Sb 0.000 0.500 0.000
Te 0.000 0.000 0.500

Number 1: spin magnetization 0.00 μB/f.u.. Number 2: spin magnetization 0.00 μB/f.u.. Number 3: spin magnetization 0.00 μB/f.u.. Number 4: spin magnetization 0.00 μB/f.u.. Number 5: spin magnetization 0.00 μB/f.u.. Number 6: spin magnetization 0.00 μB/f.u.. Number 7: spin magnetization 0.00 μB/f.u.. Number 8: spin magnetization 0.00 μB/f.u.. Number 9: spin magnetization 0.00 μB/f.u.. Number 10: spin magnetization 0.00 μB/f.u.. Number 11: spin magnetization 0.34 μB/f.u.. Number 12: spin magnetization 0.00 μB/f.u.. Number 13: spin magnetization 0.00 μB/f.u.. Number 14: spin magnetization 0.00 μB/f.u.. Number 15: spin magnetization 0.00 μB/f.u.. Number 16: spin magnetization 0.00 μB/f.u.. Number 17: spin magnetization 0.00 μB/f.u.. Number 18: spin magnetization 0.00 μB/f.u.. Number 19: spin magnetization 0.00 μB/f.u..